Here is a PBEsol-optimized structure of Tc2HgMo from Alexandria. Energies are from meta-GGA SCAN. Values from VASP.

Quantum ESPRESSO input file:
```
&SYSTEM
  ibrav = 0, nat = 4, ntyp = 3
/
ATOMIC_SPECIES
Tc 98.00 Tc.upf
Hg 200.59 Hg.upf
Mo 95.94 Mo.upf
CELL_PARAMETERS angstrom
3.090 0.000 0.000
0.000 3.090 0.000
0.000 0.000 6.679
ATOMIC_POSITIONS angstrom
Tc 0.000 0.000 1.440
Tc 0.000 0.000 5.238
Hg 1.545 1.545 3.339
Mo 1.545 1.545 0.000
```

Values from the calculation:
E_form = 0.3470 eV per atom
E_tot = -42.946 eV per atom